(1)
Entry from Alexandria via LeMat-Bulk: a relaxed structure of Pm5Pr5Sm (PBE-GGA).

uncorrected energy = -4.449 eV per atom
energy above the most stable polymorph in this dataset = 13 meV/atom
size of the total moment = 0.18 μB per formula unit
ΔE_f = 0.31 eV per atom
crystal system = monoclinic

Unit cell a=8.783 b=8.783 c=10.993 alpha=51.35 beta=51.35 gamma=39.00
Atoms (fractional coordinates):
Pm1 0.000 0.000 0.500
Pm2 0.748 0.748 0.752
Pm3 0.252 0.252 0.248
Pm4 0.500 0.500 0.686
Pm5 0.500 0.500 0.314
Sm1 0.000 0.000 0.000
Pr1 0.814 0.814 0.382
Pr2 0.500 0.500 0.000
Pr3 0.186 0.186 0.011
Pr4 0.814 0.814 0.989
Pr5 0.186 0.186 0.618

(2)
Entry from Alexandria via LeMat-Bulk: a relaxed structure of Pm2PrSm (PBE-GGA).

uncorrected energy = -4.638 eV per atom
energy above the most stable polymorph in this dataset = 99 meV/atom
size of the total moment = 0.00 μB per formula unit
ΔE_f = 0.11 eV per atom
crystal system = tetragonal

Unit cell a=4.324 b=4.324 c=7.407 alpha=90.00 beta=90.00 gamma=90.00
Atoms (fractional coordinates):
Sm1 0.500 0.500 0.000
Pm1 0.000 0.000 0.753
Pm2 0.000 0.000 0.247
Pr1 0.500 0.500 0.500

(3)
Entry from Alexandria via LeMat-Bulk: a relaxed structure of PmPr3Sm (PBE-GGA).

uncorrected energy = -4.592 eV per atom
size of the total moment = 0.00 μB per formula unit
ΔE_f = 0.17 eV per atom
crystal system = orthorhombic

Unit cell a=5.522 b=7.471 c=8.659 alpha=90.00 beta=90.00 gamma=90.00
Atoms (fractional coordinates):
Pr1 0.250 0.538 0.255
Pr2 0.750 0.462 0.745
Pr3 0.750 0.750 0.050
Pr4 0.250 0.250 0.950
Pr5 0.750 0.038 0.745
Pr6 0.250 0.962 0.255
Pm1 0.250 0.250 0.560
Pm2 0.750 0.750 0.440
Sm1 0.750 0.250 0.267
Sm2 0.250 0.750 0.733

(4)
Entry from Alexandria via LeMat-Bulk: a relaxed structure of Pm5Pr4Sm (PBE-GGA).

uncorrected energy = -4.599 eV per atom
energy above the most stable polymorph in this dataset = 0 meV/atom
size of the total moment = 0.00 μB per formula unit
ΔE_f = 0.16 eV per atom
crystal system = monoclinic

Unit cell a=3.655 b=10.707 c=9.416 alpha=84.77 beta=101.19 gamma=90.00
Atoms (fractional coordinates):
Pr1 0.043 0.244 0.086
Pr2 0.683 0.092 0.367
Pr3 0.957 0.756 0.914
Pr4 0.317 0.908 0.633
Pm1 0.191 0.405 0.382
Pm2 0.809 0.595 0.618
Pm3 0.500 0.500 0.000
Pm4 0.857 0.240 0.715
Pm5 0.143 0.760 0.285
Sm1 0.500 0.000 0.000

(5)
Entry from Alexandria via LeMat-Bulk: a relaxed structure of Pm12PrSm7 (PBE-GGA).

uncorrected energy = -4.648 eV per atom
energy above the most stable polymorph in this dataset = 0 meV/atom
size of the total moment = 0.00 μB per formula unit
ΔE_f = 0.09 eV per atom
crystal system = trigonal

Unit cell a=8.932 b=8.932 c=8.932 alpha=98.81 beta=98.81 gamma=98.81
Atoms (fractional coordinates):
Sm1 0.342 0.906 0.906
Sm2 0.658 0.094 0.094
Sm3 0.906 0.906 0.342
Sm4 0.500 0.500 0.500
Sm5 0.094 0.658 0.094
Sm6 0.094 0.094 0.658
Sm7 0.906 0.342 0.906
Pm1 0.356 0.356 0.089
Pm2 0.356 0.089 0.356
Pm3 0.240 0.760 0.500
Pm4 0.760 0.240 0.500
Pm5 0.240 0.500 0.760
Pm6 0.089 0.356 0.356
Pm7 0.644 0.644 0.911
Pm8 0.500 0.760 0.240
Pm9 0.500 0.240 0.760
Pm10 0.760 0.500 0.240
Pm11 0.911 0.644 0.644
Pm12 0.644 0.911 0.644
Pr1 0.000 0.000 0.000

(6)
Entry from Alexandria via LeMat-Bulk: a relaxed structure of Pm3Pr2Sm5 (PBE-GGA).

uncorrected energy = -4.380 eV per atom
energy above the most stable polymorph in this dataset = 183 meV/atom
size of the total moment = 0.00 μB per formula unit
ΔE_f = 0.36 eV per atom
crystal system = orthorhombic

Unit cell a=6.944 b=12.554 c=12.554 alpha=44.78 beta=73.94 gamma=73.94
Atoms (fractional coordinates):
Pm1 0.126 0.125 0.624
Pm2 0.374 0.376 0.875
Pm3 0.874 0.875 0.376
Pm4 0.750 0.000 0.000
Pm5 0.626 0.624 0.125
Pm6 0.250 0.000 0.000
Pr1 0.624 0.977 0.775
Pr2 0.376 0.023 0.225
Pr3 0.124 0.775 0.977
Pr4 0.876 0.225 0.023
Sm1 0.999 0.751 0.751
Sm2 0.499 0.751 0.751
Sm3 0.626 0.283 0.464
Sm4 0.250 0.500 0.500
Sm5 0.750 0.500 0.500
Sm6 0.501 0.249 0.249
Sm7 0.001 0.249 0.249
Sm8 0.374 0.717 0.536
Sm9 0.874 0.536 0.717
Sm10 0.126 0.464 0.283

(7)
Entry from Alexandria via LeMat-Bulk: a relaxed structure of Pm6PrSm4 (PBE-GGA).

uncorrected energy = -4.590 eV per atom
energy above the most stable polymorph in this dataset = 0 meV/atom
size of the total moment = 0.00 μB per formula unit
ΔE_f = 0.15 eV per atom
crystal system = hexagonal

Unit cell a=3.629 b=11.138 c=11.138 alpha=120.00 beta=90.00 gamma=90.00
Atoms (fractional coordinates):
Pm1 0.500 0.184 0.816
Pm2 0.000 0.524 0.049
Pm3 0.500 0.633 0.816
Pm4 0.000 0.951 0.476
Pm5 0.000 0.524 0.476
Pm6 0.500 0.184 0.367
Sm1 0.500 0.838 0.162
Sm2 0.500 0.838 0.677
Sm3 0.500 0.323 0.162
Sm4 0.000 0.333 0.667
Pr1 0.000 0.000 0.000

(8)
Entry from Alexandria via LeMat-Bulk: a relaxed structure of Pm2Pr3Sm6 (PBE-GGA).

uncorrected energy = -4.589 eV per atom
energy above the most stable polymorph in this dataset = 0 meV/atom
size of the total moment = 0.00 μB per formula unit
ΔE_f = 0.15 eV per atom
crystal system = monoclinic

Unit cell a=5.971 b=6.574 c=11.998 alpha=80.29 beta=68.19 gamma=62.99
Atoms (fractional coordinates):
Pr1 0.680 0.640 0.000
Pr2 0.320 0.360 0.000
Pr3 0.000 0.000 0.000
Sm1 0.810 0.687 0.288
Sm2 0.188 0.000 0.233
Sm3 0.812 0.000 0.767
Sm4 0.504 0.687 0.712
Sm5 0.496 0.313 0.288
Sm6 0.190 0.313 0.712
Pm1 0.140 0.719 0.500
Pm2 0.860 0.281 0.500

| no. | Fermi-level density of states (states/eV/f.u.) |
| --- | --- |
| 1 | 15.663 |
| 2 | 9.294 |
| 3 | 8.418 |
| 4 | 15.435 |
| 5 | 34.473 |
| 6 | 15.206 |
| 7 | 16.186 |
| 8 | 17.001 |